# 1
# Ba2CuPtN, optimized geometry, DFT GGA-PBE
# - magnetization (μB/cell) = 0.00
# - density of states at the Fermi level (states/eV per atom) = 0.51
# - E above lowest polymorph (eV/f.u.) = 0.30
data_Ba2CuPtN
_cell_length_a 5.783
_cell_length_b 5.783
_cell_length_c 3.864
_cell_angle_alpha 90.00
_cell_angle_beta 90.00
_cell_angle_gamma 90.00
_symmetry_space_group_name_H-M 'P 4/m m m'
_symmetry_Int_Tables_number 123
_symmetry_space_group_name_Hall '-P 4 2'
loop_
_atom_site_label
_atom_site_type_symbol
_atom_site_fract_x
_atom_site_fract_y
_atom_site_fract_z
Ba1 Ba 0.000 0.500 0.000
Cu1 Cu 0.000 0.000 0.500
Pt1 Pt 0.500 0.500 0.500
N1 N 0.500 0.500 0.000



# 2
# BaPu2CuN4, optimized geometry, DFT GGA-PBE
# - magnetization (μB/cell) = 28.00
# - density of states at the Fermi level (states/eV per atom) = 1.51
data_BaPu2CuN4
_cell_length_a 3.555
_cell_length_b 11.795
_cell_length_c 11.581
_cell_angle_alpha 90.00
_cell_angle_beta 90.00
_cell_angle_gamma 90.00
_symmetry_space_group_name_H-M 'C m c m'
_symmetry_Int_Tables_number 63
_symmetry_space_group_name_Hall '-C 2c 2'
loop_
_atom_site_label
_atom_site_type_symbol
_atom_site_fract_x
_atom_site_fract_y
_atom_site_fract_z
Ba1 Ba 0.000 0.097 0.250
Pu1 Pu 0.000 0.367 0.057
Cu1 Cu 0.000 0.175 0.750
N1 N 0.000 0.000 0.000
N2 N 0.000 0.251 0.597
N3 N 0.000 0.415 0.250



# 3
# Ba2CuRuN, optimized geometry, DFT GGA-PBE
# - magnetization (μB/cell) = 0.00
# - density of states at the Fermi level (states/eV per atom) = 0.46
data_Ba2CuRuN
_cell_length_a 5.776
_cell_length_b 5.776
_cell_length_c 3.809
_cell_angle_alpha 90.00
_cell_angle_beta 90.00
_cell_angle_gamma 90.00
_symmetry_space_group_name_H-M 'P 4/m m m'
_symmetry_Int_Tables_number 123
_symmetry_space_group_name_Hall '-P 4 2'
loop_
_atom_site_label
_atom_site_type_symbol
_atom_site_fract_x
_atom_site_fract_y
_atom_site_fract_z
Ba1 Ba 0.000 0.500 0.000
Cu1 Cu 0.000 0.000 0.500
Ru1 Ru 0.500 0.500 0.500
N1 N 0.500 0.500 0.000



These records have calculated total energy values of -4.811; -9.354; -5.281 eV/atom, in the order they appear.
These records have energy relative to the elements, uncorrected values of -0.350; -0.856; -0.172 eV/atom, in the order they appear.